Dy6Bi2Pb: relaxed, GGA-PBE.

Geometry as CIF:
```
data_Dy6Bi2Pb
_space_group_name_H-M_alt 'P 1 21/c 1'
_space_group_IT_number 14
_cell_length_a 6.3696
_cell_length_b 8.3618
_cell_length_c 12.2261
_cell_angle_alpha 90.00
_cell_angle_beta 120.93
_cell_angle_gamma 90.00
loop_
_space_group_symop_operation_xyz
'x,y,z'
'-x,-y,-z'
'-x,y+1/2,-z+1/2'
'x,-y+1/2,z+1/2'
loop_
_atom_site_label
_atom_site_fract_x
_atom_site_fract_y
_atom_site_fract_z
Dy1 0.0625 0.2085 0.4485
Dy2 0.3186 0.6537 0.4547
Dy3 0.3683 0.0427 0.2254
Bi1 0.1355 0.1113 0.7382
Pb1 0.5000 0.0000 0.5000
```

energy of formation from the pure elements = -0.40 eV/atom
size of the total moment = 0.00 μB/f.u.